Entry 1:
VASP calculation (GGA-PBE) on CrTe3Pb after structural relaxation.

Results
E in eV per cell: -18.222
Relative energy among the computed polymorphs in eV per formula unit: 3.98
Size of the total moment in μB/f.u.: 4.085
Uncorrected formation energy in eV per formula unit: 4.54

Lattice parameters (Å, degrees): 5.8158 5.8158 5.8158 90.00 90.00 90.00
With the nearest neighbours (Å) after each atom.
Space group Pm-3m (No. 221)
Unique sites:
Cr 0.0000 0.0000 0.0000 [1 per cell]  12 Te 4.11
Te 0.0000 0.5000 0.5000 [3 per cell]  2 Pb 2.91
Pb 0.5000 0.5000 0.5000 [1 per cell]  6 Te 2.91



Entry 2:
VASP calculation (GGA-PBE) on CrTe2Pb after structural relaxation.

Results
E in eV per cell: -20.274
Size of the total moment in μB/f.u.: 3.975
Uncorrected formation energy in eV per formula unit: -0.66

Lattice parameters (Å, degrees): 4.2619 4.2619 7.3420 90.00 90.00 120.00
With the nearest neighbours (Å) after each atom.
Space group P-3m1 (No. 164)
Unique sites:
Cr 0.0000 0.0000 0.0000 [1 per cell]  6 Te 2.86
Te 0.3333 0.6667 0.8002 [2 per cell]  3 Cr 2.86
Pb 0.0000 0.0000 0.5000 [1 per cell]  6 Te 3.30, 2 Cr 3.67



Entry 3:
VASP calculation (GGA-PBE) on CrTePb after structural relaxation.

Results
E in eV per cell: -15.733
Relative energy among the computed polymorphs in eV per formula unit: 0.29
Size of the total moment in μB/f.u.: 3.948
Uncorrected formation energy in eV per formula unit: 0.74

Lattice parameters (Å, degrees): 4.6487 4.6487 4.4047 90.00 90.00 120.00
With the nearest neighbours (Å) after each atom.
Space group P-6m2 (No. 187)
Unique sites:
Cr 0.0000 0.0000 0.0000 [1 per cell]  3 Te 2.68
Te 0.3333 0.6667 0.0000 [1 per cell]  3 Cr 2.68
Pb 0.6667 0.3333 0.5000 [1 per cell]  6 Cr 3.47, 6 Te 3.47



Entry 4:
VASP calculation (GGA-PBE) on CrTe2Pb after structural relaxation.

Results
E in eV per cell: -18.784
Size of the total moment in μB/f.u.: 0.000
Uncorrected formation energy in eV per formula unit: 0.83

Lattice parameters (Å, degrees): 3.2628 3.2628 9.2238 90.00 90.00 90.00
With the nearest neighbours (Å) after each atom.
Space group P4/mmm (No. 123)
Unique sites:
Cr 0.0000 0.0000 0.0000 [1 per cell]  8 Te 2.80
Te 0.5000 0.5000 0.1721 [2 per cell]  4 Cr 2.80
Pb 0.0000 0.0000 0.5000 [1 per cell]  4 Pb 3.26



Entry 5:
VASP calculation (GGA-PBE) on CrTePb after structural relaxation.

Results
E in eV per cell: -32.037
Relative energy among the computed polymorphs in eV per formula unit: 0.00
Size of the total moment in μB/f.u.: 3.680
Uncorrected formation energy in eV per formula unit: 0.45

Lattice parameters (Å, degrees): 3.6139 3.6139 12.1762 90.00 90.00 90.00
With the nearest neighbours (Å) after each atom.
Space group I4mm (No. 107)
Unique sites:
Cr 0.0000 0.0000 0.0000 [2 per cell]  4 Te 2.81
Te 0.0000 0.0000 0.4044 [2 per cell]  4 Cr 2.81
Pb 0.0000 0.0000 0.6640 [2 per cell]  1 Te 3.16, 4 Cr 3.24



Entry 6:
VASP calculation (GGA-PBE) on CrTe2Pb after structural relaxation.

Results
E in eV per cell: -37.309
Size of the total moment in μB/f.u.: 4.280
Uncorrected formation energy in eV per formula unit: 0.96

Lattice parameters (Å, degrees): 4.4018 4.4018 11.6996 90.00 90.00 90.00
With the nearest neighbours (Å) after each atom.
Space group I-4m2 (No. 119)
Unique sites:
Cr 0.0000 0.0000 0.0000 [2 per cell]  4 Te 3.11
Te 0.0000 0.0000 0.5000 [2 per cell]  4 Cr 3.11
Te 0.0000 0.5000 0.2500 [2 per cell]  4 Pb 3.11
Pb 0.0000 0.5000 0.7500 [2 per cell]  4 Te 3.11